(1)
The following is a PBE calculation of crystalline Pm3Pr2Ho8 at its relaxed geometry, from Alexandria via LeMat-Bulk.

Lattice parameters (Å, degrees): 8.6703 8.6703 6.9595 105.73 105.73 64.06
Last column: nearest neighbours and their distance in Å.
Positions (direct):
Pm1 0.0000 0.0000 0.0000  6 Ho 3.14-3.42
Pm2 0.1763 0.8237 0.5000  1 Pm 3.24, 6 Ho 3.41-3.63
Pm3 0.8237 0.1763 0.5000  1 Pm 3.24, 6 Ho 3.41-3.63
Pr1 0.2210 0.2210 0.4198  7 Ho 3.43-3.55, 3 Pm 3.61-3.83
Pr2 0.7790 0.7790 0.5802  7 Ho 3.43-3.55, 3 Pm 3.61-3.83
Ho1 0.1922 0.1922 0.8941  1 Pm 3.14, 2 Ho 3.39, 1 Pr 3.46
Ho2 0.1999 0.5626 0.8284  5 Ho 3.33-3.60, 2 Pm 3.42-3.54, 2 Pr 3.48-3.49
Ho3 0.4206 0.4206 0.2668  6 Ho 3.34-3.60, 2 Pm 3.41, 1 Pr 3.43
Ho4 0.4374 0.8001 0.1716  5 Ho 3.33-3.60, 2 Pm 3.42-3.54, 2 Pr 3.48-3.49
Ho5 0.5626 0.1999 0.8284  5 Ho 3.33-3.60, 2 Pm 3.42-3.54, 2 Pr 3.48-3.49
Ho6 0.5794 0.5794 0.7332  6 Ho 3.34-3.60, 2 Pm 3.41, 1 Pr 3.43
Ho7 0.8001 0.4374 0.1716  5 Ho 3.33-3.60, 2 Pm 3.42-3.54, 2 Pr 3.48-3.49
Ho8 0.8078 0.8078 0.1059  1 Pm 3.14, 2 Ho 3.39, 1 Pr 3.46

V: 446 Å³/cell
Crystal system: monoclinic
Calculated formation energy: 230.5 meV per atom
Distance to the lowest polymorph of the same formula: 0.000 eV per atom

=====

(2)
The following is a PBE calculation of crystalline PmPr6Ho12 at its relaxed geometry, from Alexandria via LeMat-Bulk.

Lattice parameters (Å, degrees): 8.8959 8.8959 8.8959 100.37 100.37 100.37
Last column: nearest neighbours and their distance in Å.
Positions (direct):
Pm1 0.0000 0.0000 0.0000  6 Pr 3.94
Pr1 0.2241 0.2241 0.7337  4 Ho 2.98-3.21
Pr2 0.2241 0.7337 0.2241  4 Ho 2.98-3.21
Pr3 0.2663 0.7759 0.7759  4 Ho 2.98-3.21
Pr4 0.7337 0.2241 0.2241  4 Ho 2.98-3.21
Pr5 0.7759 0.2663 0.7759  4 Ho 2.98-3.21
Pr6 0.7759 0.7759 0.2663  4 Ho 2.98-3.21
Ho1 0.1151 0.5000 0.8849  4 Pr 2.98-3.21, 1 Ho 3.15
Ho2 0.1151 0.8849 0.5000  4 Pr 2.98-3.21, 1 Ho 3.15
Ho3 0.1623 0.4462 0.4462  3 Ho 3.44-3.65, 3 Pr 3.53-3.61
Ho4 0.4462 0.1623 0.4462  3 Ho 3.44-3.65, 3 Pr 3.53-3.61
Ho5 0.4462 0.4462 0.1623  3 Ho 3.44-3.65, 3 Pr 3.53-3.61
Ho6 0.5000 0.1151 0.8849  4 Pr 2.98-3.21, 1 Ho 3.15
Ho7 0.5000 0.8849 0.1151  4 Pr 2.98-3.21, 1 Ho 3.15
Ho8 0.5538 0.5538 0.8377  3 Ho 3.44-3.65, 3 Pr 3.53-3.61
Ho9 0.5538 0.8377 0.5538  3 Ho 3.44-3.65, 3 Pr 3.53-3.61
Ho10 0.8377 0.5538 0.5538  3 Ho 3.44-3.65, 3 Pr 3.53-3.61
Ho11 0.8849 0.1151 0.5000  4 Pr 2.98-3.21, 1 Ho 3.15
Ho12 0.8849 0.5000 0.1151  4 Pr 2.98-3.21, 1 Ho 3.15

V: 665 Å³/cell
Crystal system: trigonal
Calculated formation energy: 463.8 meV per atom
Distance to the lowest polymorph of the same formula: 0.248 eV per atom